Record 1
Below is a relaxed Mg7Si4 crystal, with properties calculated at the GGA-PBE level.

Mass density = 2.1 Mg/m³
Calculated volume = 448.8 Å³ per cell
Space-group type = No. 1
Total magnetization = 0.000 μB per atom
Formation energy from raw total energies = 0.61 eV/f.u.
DOS at the Fermi energy = 6.64 states/eV/cell

Lattice parameters (Å, degrees): 5.307 6.215 13.948 97.19 95.16 98.44
Atoms (fractional coordinates):
Mg: 0.000 0.000 0.000
Mg: 0.007 0.709 0.419
Mg: 0.027 0.844 0.221
Mg: 0.041 0.511 0.668
Mg: 0.151 0.034 0.782
Mg: 0.163 0.249 0.442
Mg: 0.226 0.548 0.899
Mg: 0.459 0.549 0.285
Mg: 0.493 0.775 0.095
Mg: 0.603 0.033 0.343
Mg: 0.612 0.744 0.758
Mg: 0.706 0.294 0.826
Mg: 0.840 0.015 0.594
Mg: 0.912 0.327 0.203
Si: 0.314 0.872 0.601
Si: 0.376 0.173 0.171
Si: 0.441 0.271 0.638
Si: 0.487 0.973 0.926
Si: 0.513 0.326 0.029
Si: 0.514 0.695 0.472
Si: 0.685 0.363 0.499
Si: 0.924 0.563 0.048


Record 2
Below is a relaxed Sm3ZnCo crystal, with properties calculated at the GGA-PBE level.

Total energy = -4.572 eV per atom
Mass density = 7.4 Mg/m³
Calculated volume = 258.6 Å³ per cell
Space-group type = No. 6
Total magnetization = 0.000 μB per atom
DOS at the Fermi energy = 10.10 states/eV/cell

Lattice parameters (Å, degrees): 6.769 5.129 7.476 90.00 94.81 90.00
Atoms (fractional coordinates):
Sm: 0.000 0.000 0.000
Sm: 0.030 0.500 0.328
Sm: 0.295 0.000 0.620
Sm: 0.461 0.000 0.173
Sm: 0.576 0.500 0.864
Sm: 0.791 0.000 0.553
Zn: 0.070 0.500 0.754
Zn: 0.498 0.500 0.392
Co: 0.250 0.500 0.068
Co: 0.624 0.000 0.851


Record 3
Below is a relaxed PuAgSnAu crystal, with properties calculated at the GGA-PBE level.

Total energy = -6.379 eV per atom
Mass density = 12.4 Mg/m³
Calculated volume = 89.7 Å³ per cell
Space-group type = No. 216
Total magnetization = 1.381 μB per atom
DOS at the Fermi energy = 15.60 states/eV/cell

Lattice parameters (Å, degrees): 5.024 5.024 5.024 60.00 60.00 60.00
Atoms (fractional coordinates):
Pu: 0.000 0.000 0.000
Ag: 0.250 0.250 0.250
Sn: 0.500 0.500 0.500
Au: 0.750 0.750 0.750


Record 4
Below is a relaxed FeRuRh crystal, with properties calculated at the GGA-PBE level.

Total energy = -7.893 eV per atom
Mass density = 9.6 Mg/m³
Calculated volume = 44.9 Å³ per cell
Space-group type = No. 216
Total magnetization = 0.663 μB per atom
DOS at the Fermi energy = 3.64 states/eV/cell

Lattice parameters (Å, degrees): 3.991 3.991 3.991 60.00 60.00 60.00
Atoms (fractional coordinates):
Fe: 0.000 0.000 0.000
Ru: 0.750 0.750 0.750
Rh: 0.250 0.250 0.250


Record 5
Below is a relaxed PuPt2Rh2 crystal, with properties calculated at the GGA-PBE level.

Total energy = -8.481 eV per atom
Mass density = 15.2 Mg/m³
Calculated volume = 184.0 Å³ per cell
Space-group type = No. 139
Total magnetization = 0.816 μB per atom
DOS at the Fermi energy = 26.73 states/eV/cell

Lattice parameters (Å, degrees): 12.716 12.716 12.716 162.59 162.59 24.72
Atoms (fractional coordinates):
Pu: 0.115 0.115 0.000
Pu: 0.885 0.885 0.000
Pt: 0.000 0.500 0.500
Pt: 0.324 0.324 0.000
Pt: 0.500 0.000 0.500
Pt: 0.676 0.676 0.000
Rh: 0.250 0.750 0.500
Rh: 0.424 0.424 0.000
Rh: 0.576 0.576 0.000
Rh: 0.750 0.250 0.500


Record 6
Below is a relaxed ZrFe2Sb2 crystal, with properties calculated at the GGA-PBE level.

Mass density = 8.1 Mg/m³
Calculated volume = 91.4 Å³ per cell
Space-group type = No. 139
Total magnetization = 0.000 μB per atom
Formation energy from raw total energies = 0.37 eV/f.u.
DOS at the Fermi energy = 3.67 states/eV/cell

Lattice parameters (Å, degrees): 6.139 6.139 6.139 140.87 140.87 56.54
Atoms (fractional coordinates):
Zr: 0.000 0.000 0.000
Fe: 0.250 0.750 0.500
Fe: 0.750 0.250 0.500
Sb: 0.371 0.371 0.000
Sb: 0.629 0.629 0.000